## KCrGeO4 (PBE+U)

Data for crystalline KCrGeO4 at its relaxed geometry.

Cell lengths 5.3111, 5.5402, 7.1278 Å; angles 90.00, 102.75, 90.00 degrees
Closest atoms and distances in Å follow each position.
Fractional positions:
K 0.1448 0.2500 0.1008  2 O 2.58-2.79
K 0.8552 0.7500 0.8992  2 O 2.58-2.79
Cr 0.1549 0.7500 0.4694  6 O 1.97-2.20
Cr 0.8451 0.2500 0.5306  6 O 1.97-2.20
Ge 0.3916 0.2500 0.6599  4 O 1.76-1.82
Ge 0.6084 0.7500 0.3401  4 O 1.76-1.82
O 0.1518 0.0187 0.6714  1 Ge 1.82
O 0.1518 0.4813 0.6714  1 Ge 1.82
O 0.2917 0.7500 0.2002  1 Ge 1.76
O 0.4686 0.2500 0.4297  1 Ge 1.78, 1 Cr 1.97
O 0.5314 0.7500 0.5703  1 Ge 1.78, 1 Cr 1.97
O 0.7083 0.2500 0.7998  1 Ge 1.76
O 0.8482 0.5187 0.3286  1 Ge 1.82
O 0.8482 0.9813 0.3286  1 Ge 1.82

Output
As for the space group: No. 11. The total energy is -6.366 eV per atom.